(one)
KFeN2F (PBE with a Hubbard U, optimized geometry); space group = P4/mmm (123); volume = 68 Å³/cell
1.0
3.775 0.000 0.000
0.000 3.775 0.000
0.000 0.000 4.769
K Fe N F
1 1 2 1
Cartesian
0.000 0.000 0.000
1.888 1.888 2.385
0.000 1.888 2.385
1.888 0.000 2.385
1.888 1.888 0.000

***

(two)
KFeN2F (PBE with a Hubbard U, optimized geometry); space group = P4/mmm (123); volume = 115 Å³/cell
1.0
4.985 0.000 0.000
0.000 4.985 0.000
0.000 0.000 4.628
K Fe N F
1 1 2 1
Cartesian
0.000 0.000 0.000
2.492 2.492 2.314
0.000 2.492 0.000
2.492 0.000 0.000
0.000 0.000 2.314

***

What should be chosen as the most stable of them? Choose (one).

***

(one)
K2TlFeF6 (PBE with a Hubbard U, optimized geometry); space group = P2_1/c (14); volume = 363 Å³/cell
1.0
6.258 0.000 0.000
0.000 6.503 0.000
-6.223 0.000 8.930
K Tl Fe F
4 2 2 12
Cartesian
-0.090 0.332 2.246
-3.202 2.920 6.712
3.237 3.583 2.219
0.126 6.172 6.684
3.129 0.000 0.000
0.018 3.252 4.465
-3.111 0.000 4.465
0.000 3.252 0.000
-2.159 1.616 3.836
-5.270 1.636 8.301
-4.634 4.332 8.503
-1.522 5.424 4.038
-2.423 0.342 6.282
0.688 2.910 1.817
-0.653 3.593 7.113
2.459 6.162 2.648
1.558 1.080 4.892
4.669 2.172 0.427
5.306 4.867 0.629
2.194 4.888 5.095

***

(two)
K2TlFeF6 (PBE with a Hubbard U, optimized geometry); space group = Fm-3m (225); volume = 192 Å³/cell
1.0
0.000 4.576 4.576
4.576 0.000 4.576
4.576 4.576 0.000
K Tl Fe F
2 1 1 6
Cartesian
2.288 2.288 2.288
6.863 6.863 6.863
0.000 0.000 0.000
4.576 4.576 4.576
4.576 4.576 2.616
4.576 2.616 4.576
6.535 4.576 4.576
2.616 4.576 4.576
4.576 6.535 4.576
4.576 4.576 6.535

***

What should be chosen as the most stable of them? Choose (one).

***

(one)
LaFeF2 (PBE with a Hubbard U, optimized geometry); space group = R-3m (166); volume = 68 Å³/cell
1.0
1.621 0.936 7.469
-1.621 0.936 7.469
0.000 -1.872 7.469
La Fe F
1 1 2
Cartesian
0.000 0.000 0.000
0.000 0.000 11.203
0.000 0.000 9.185
0.000 0.000 13.222

***

(two)
LaFeF2 (PBE with a Hubbard U, optimized geometry); space group = Fm-3m (225); volume = 65 Å³/cell
1.0
0.000 3.190 3.190
3.190 0.000 3.190
3.190 3.190 0.000
La Fe F
1 1 2
Cartesian
0.000 0.000 0.000
3.190 3.190 3.190
1.595 1.595 1.595
4.785 4.785 4.785

***

(three)
LaFeF2 (PBE with a Hubbard U, optimized geometry); space group = I-42d (122); volume = 195 Å³/cell
1.0
-2.567 2.567 7.406
2.567 -2.567 7.406
2.567 2.567 -7.406
La Fe F
2 2 4
Cartesian
0.000 0.000 0.000
0.000 2.567 3.703
2.567 0.000 3.703
0.000 0.000 7.406
0.444 1.284 1.851
-1.284 2.123 5.554
-0.444 3.851 1.851
1.284 3.011 5.554

***

What should be chosen as the most stable of them? Choose (three).

***

(one)
LaFeF3 (PBE with a Hubbard U, optimized geometry); space group = Pm-3m (221); volume = 75 Å³/cell
1.0
4.222 0.000 0.000
0.000 4.222 0.000
0.000 0.000 4.222
La Fe F
1 1 3
Cartesian
0.000 0.000 0.000
2.111 2.111 2.111
0.000 2.111 2.111
2.111 0.000 2.111
2.111 2.111 0.000

***

(two)
LaFeF3 (PBE with a Hubbard U, optimized geometry); space group = Pm-3m (221); volume = 106 Å³/cell
1.0
4.728 0.000 0.000
0.000 4.728 0.000
0.000 0.000 4.728
La Fe F
1 1 3
Cartesian
0.000 0.000 0.000
2.364 2.364 2.364
0.000 0.000 2.364
0.000 2.364 0.000
2.364 0.000 0.000

***

What should be chosen as the most stable of them? Choose (two).

***

(one)
LaFe2F (PBE with a Hubbard U, optimized geometry); space group = I4_1/amd (141); volume = 187 Å³/cell
1.0
-2.408 2.408 8.051
2.408 -2.408 8.051
2.408 2.408 -8.051
La Fe F
2 4 2
Cartesian
2.408 1.204 2.013
0.000 1.204 6.039
0.000 0.000 0.000
1.204 1.204 -4.026
1.204 -1.204 4.026
0.000 2.408 0.000
2.408 -1.204 6.039
0.000 3.612 2.013

***

(two)
LaFe2F (PBE with a Hubbard U, optimized geometry); space group = Fm-3m (225); volume = 85 Å³/cell
1.0
0.000 3.492 3.492
3.492 0.000 3.492
3.492 3.492 0.000
La Fe F
1 2 1
Cartesian
0.000 0.000 0.000
1.746 1.746 1.746
5.238 5.238 5.238
3.492 3.492 3.492

***

What should be chosen as the most stable of them? Choose (one).

***

(one)
LaFe3F (PBE with a Hubbard U, optimized geometry); space group = Pm-3m (221); volume = 108 Å³/cell
1.0
4.759 0.000 0.000
0.000 4.759 0.000
0.000 0.000 4.759
La Fe F
1 3 1
Cartesian
0.000 0.000 0.000
0.000 2.380 2.380
2.380 0.000 2.380
2.380 2.380 0.000
2.380 2.380 2.380

***

(two)
LaFe3F (PBE with a Hubbard U, optimized geometry); space group = Pm-3m (221); volume = 166 Å³/cell
1.0
5.496 0.000 0.000
0.000 5.496 0.000
0.000 0.000 5.496
La Fe F
1 3 1
Cartesian
0.000 0.000 0.000
0.000 0.000 2.748
0.000 2.748 0.000
2.748 0.000 0.000
2.748 2.748 2.748

***

What should be chosen as the most stable of them? Choose (one).

***

(one)
LaFeOF2 (PBE with a Hubbard U, optimized geometry); space group = P4/mmm (123); volume = 104 Å³/cell
1.0
4.735 0.000 0.000
0.000 4.735 0.000
0.000 0.000 4.621
La Fe O F
1 1 1 2
Cartesian
0.000 0.000 0.000
2.367 2.367 2.310
0.000 0.000 2.310
0.000 2.367 0.000
2.367 0.000 0.000

***

(two)
LaFeOF2 (PBE with a Hubbard U, optimized geometry); space group = P4/mmm (123); volume = 71 Å³/cell
1.0
4.234 0.000 0.000
0.000 4.234 0.000
0.000 0.000 3.934
La Fe O F
1 1 1 2
Cartesian
0.000 0.000 0.000
2.117 2.117 1.967
2.117 2.117 0.000
0.000 2.117 1.967
2.117 0.000 1.967

***

What should be chosen as the most stable of them? Choose (two).

***

(one)
LiFeF5 (PBE with a Hubbard U, optimized geometry); space group = Pbcm (57); volume = 373 Å³/cell
1.0
3.977 0.000 0.000
0.000 9.648 0.000
0.000 0.000 9.720
Li Fe F
4 4 20
Cartesian
0.048 2.412 0.000
0.048 2.412 4.860
3.930 7.236 0.000
3.930 7.236 4.860
1.024 4.864 2.430
1.024 9.607 7.290
2.953 0.040 2.430
2.953 4.784 7.290
0.953 0.048 2.430
0.953 4.776 7.290
1.041 1.240 6.006
1.041 1.240 8.574
1.041 3.584 1.146
1.041 3.584 3.714
1.040 6.146 1.147
1.040 6.146 3.713
1.040 8.325 6.007
1.040 8.325 8.573
2.937 1.323 1.147
2.937 1.323 3.713
2.937 3.501 6.007
2.937 3.501 8.573
2.936 6.063 6.006
2.936 6.063 8.574
2.936 8.408 1.146
2.936 8.408 3.714
3.024 4.872 2.430
3.024 9.600 7.290

***

(two)
LiFeF5 (PBE with a Hubbard U, optimized geometry); space group = Pnma (62); volume = 418 Å³/cell
1.0
9.617 0.000 0.000
0.000 5.281 0.000
0.000 0.000 8.241
Li Fe F
4 4 20
Cartesian
0.471 1.320 1.980
4.338 3.960 6.100
5.279 1.320 2.141
9.146 3.960 6.261
1.982 1.320 5.358
2.827 3.960 1.238
6.790 1.320 7.003
7.635 3.960 2.883
1.001 0.067 6.196
1.001 2.573 6.196
1.170 1.320 3.714
1.559 2.709 0.968
1.559 5.212 0.968
3.249 0.069 5.088
3.249 2.571 5.088
3.638 3.960 7.834
3.807 2.707 2.076
3.807 5.214 2.076
5.809 0.067 6.165
5.809 2.573 6.165
5.979 1.320 0.406
6.367 2.709 3.153
6.367 5.212 3.153
8.058 0.069 7.273
8.058 2.571 7.273
8.446 3.960 4.527
8.616 2.707 2.044
8.616 5.214 2.044

***

(three)
LiFeF5 (PBE with a Hubbard U, optimized geometry); space group = Immm (71); volume = 91 Å³/cell
1.0
-1.962 3.091 3.734
1.962 -3.091 3.734
1.962 3.091 -3.734
Li Fe F
1 1 5
Cartesian
0.000 0.000 0.000
0.000 0.000 3.734
1.962 1.270 0.000
0.000 0.000 1.919
0.000 3.091 0.000
0.000 0.000 5.549
0.000 1.821 3.734

***

What should be chosen as the most stable of them? Choose (one).